Entry from Alexandria: a relaxed TcSbMo2 crystal (PBE-GGA).

a = 2.918 Å, b = 2.918 Å, c = 8.662 Å
α = 90.00°, β = 90.00°, γ = 110.35°
Fractional coordinates of all 4 atoms:
1 Mo 0.500 0.500 0.236
2 Mo 0.000 0.000 0.996
3 Sb 0.000 0.000 0.503
4 Tc 0.500 0.500 0.766

Summary:
Size of the total moment: 0.000 μB/cell
Formation energy without anion corrections: 0.45 eV per atom
Symmetry: No. 35
DOS at the Fermi energy: 4.85 states/eV/cell

Entry from Alexandria: a relaxed TcSbMo2 crystal (PBE-GGA).

a = 8.696 Å, b = 8.696 Å, c = 8.696 Å
α = 20.32°, β = 20.32°, γ = 20.32°
Fractional coordinates of all 4 atoms:
1 Mo 0.000 0.000 0.000
2 Mo 0.256 0.256 0.256
3 Sb 0.499 0.499 0.499
4 Tc 0.745 0.745 0.745

Summary:
Size of the total moment: 0.000 μB/cell
Formation energy without anion corrections: 0.38 eV per atom
Symmetry: No. 160
DOS at the Fermi energy: 4.60 states/eV/cell

Entry from Alexandria: a relaxed TcSb2Mo crystal (PBE-GGA).

a = 4.656 Å, b = 4.656 Å, c = 4.656 Å
α = 60.00°, β = 60.00°, γ = 60.00°
Fractional coordinates of all 4 atoms:
1 Sb 0.250 0.250 0.250
2 Sb 0.750 0.750 0.750
3 Tc 0.500 0.500 0.500
4 Mo 0.000 0.000 0.000

Summary:
Size of the total moment: 0.000 μB/cell
Formation energy without anion corrections: 0.20 eV per atom
Energy above the most stable polymorph in this dataset: 132 meV/atom
Symmetry: No. 225
DOS at the Fermi energy: 3.14 states/eV/cell

Entry from Alexandria: a relaxed TcSb2Mo crystal (PBE-GGA).

a = 3.134 Å, b = 3.134 Å, c = 8.315 Å
α = 90.00°, β = 90.00°, γ = 90.00°
Fractional coordinates of all 4 atoms:
1 Tc 0.000 0.000 0.529
2 Sb 0.000 0.000 0.944
3 Mo 0.500 0.500 0.713
4 Sb 0.500 0.500 0.314

Summary:
Size of the total moment: 0.000 μB/cell
Formation energy without anion corrections: 0.07 eV per atom
Energy above the most stable polymorph in this dataset: 0 meV/atom
Symmetry: No. 99
DOS at the Fermi energy: 3.26 states/eV/cell

Please write out number 3 again, unchanged.
Entry from Alexandria: a relaxed TcSb2Mo crystal (PBE-GGA).

a = 4.656 Å, b = 4.656 Å, c = 4.656 Å
α = 60.00°, β = 60.00°, γ = 60.00°
Fractional coordinates of all 4 atoms:
1 Sb 0.250 0.250 0.250
2 Sb 0.750 0.750 0.750
3 Tc 0.500 0.500 0.500
4 Mo 0.000 0.000 0.000

Summary:
Size of the total moment: 0.000 μB/cell
Formation energy without anion corrections: 0.20 eV per atom
Energy above the most stable polymorph in this dataset: 132 meV/atom
Symmetry: No. 225
DOS at the Fermi energy: 3.14 states/eV/cell